Computed, not measured: AlFeBr2 after structural relaxation at the PBE-GGA level of DFT.

The calculation puts the total DFT energy (no corrections) at -3.239 eV per atom. The uncorrected formation energy comes out at 0.6490 eV per atom. Its energy relative to the lowest polymorph listed for this composition is 924 meV per atom.

It has space group F-43m (No. 216), with a = 7.081 Å, b = 7.081 Å, c = 7.081 Å, α = 90.00°, β = 90.00° and γ = 90.00°. Symmetry generates all atoms from Al at (0.000, 0.000, 0.000), Fe at (0.250, 0.250, 0.250), Br at (0.000, 0.000, 0.500) and Br at (0.250, 0.250, 0.750).